The following is a DFT calculation (PBE-GGA) of a relaxed structure of KInRu2.

Raw total energy: -4.807 eV/atom
ΔE_f: 0.79 eV/atom
Symmetry: R-3m

a = 10.140 Å, b = 10.140 Å, c = 10.140 Å
α = 16.86°, β = 16.86°, γ = 16.86°
Element x y z (fractional)
1 K 0.000 0.000 0.000
2 In 0.500 0.500 0.500
3 Ru 0.239 0.239 0.239
4 Ru 0.761 0.761 0.761


The following is a DFT calculation (PBE-GGA) of a relaxed structure of KInRu2.

Raw total energy: -4.786 eV/atom
ΔE_f: 0.81 eV/atom
Symmetry: P4/mmm

a = 3.489 Å, b = 3.489 Å, c = 7.490 Å
α = 90.00°, β = 90.00°, γ = 90.00°
Element x y z (fractional)
1 K 0.000 0.000 0.000
2 In 0.000 0.000 0.500
3 Ru 0.500 0.500 0.334
4 Ru 0.500 0.500 0.666